YZn12Au4 | PBE | relaxed

The space group is Im-3 (No. 204) and the conventional cell measures 8.8434, 8.8434 and 8.8434 Å, with angles of 90.00, 90.00 and 90.00 degrees. Symmetry generates all atoms from Y at (0.0000, 0.0000, 0.0000), Zn at (0.0000, 0.1455, 0.3554) and Au at (0.2500, 0.2500, 0.2500).

The calculation puts the calculated volume at 692 Å³ per cell. For the formation energy from the elements, the calculation gives 19 meV/atom. The value obtained for the total energy is -2.0318 eV per atom. For the density, the calculation gives 8.0 Mg/m³.